DFT (PBE) results for a relaxed Fe2CoB crystal.

Summary:
Size of the total moment ... 3.6 μB/f.u.
Total energy ... -61.14 eV/cell
Crystal system ... orthorhombic
Volume ... 76.0 Å³ per cell

The structure in POSCAR format:
```
Fe2CoB
1.0
-0.366 1.241 4.487
-0.471 -4.520 1.076
3.878 1.364 -2.423
Fe B Co
4 2 2
direct
0.250 0.750 0.500
0.679 0.679 0.000
0.750 0.250 0.500
0.321 0.321 0.000
0.759 0.759 0.518
0.241 0.241 0.482
0.179 0.821 0.000
0.821 0.179 0.000
```


DFT (PBE) results for a relaxed FeCo2B crystal.

Summary:
Size of the total moment ... 4.2 μB/f.u.
Total energy ... -28.33 eV/cell
Crystal system ... trigonal
Volume ... 41.9 Å³ per cell

The structure in POSCAR format:
```
FeCo2B
1.0
-2.178 -0.190 1.353
-0.656 -2.243 1.072
2.670 1.036 6.887
Co B Fe
2 1 1
direct
0.106 0.106 0.682
0.894 0.894 0.318
0.500 0.500 0.500
0.000 0.000 0.000
```


DFT (PBE) results for a relaxed Fe2CoB crystal.

Summary:
Size of the total moment ... 0.1 μB/f.u.
Total energy ... -58.78 eV/cell
Crystal system ... tetragonal
Volume ... 79.5 Å³ per cell

The structure in POSCAR format:
```
Fe2CoB
1.0
-0.530 -5.976 -1.398
2.028 1.154 -5.701
2.719 -2.734 -2.914
B Fe Co
2 4 2
direct
0.250 0.750 0.500
0.500 0.500 0.000
0.375 0.453 0.750
0.203 0.625 0.250
0.875 0.797 0.750
0.547 0.125 0.250
0.750 0.250 0.500
0.000 0.000 0.000
```


DFT (PBE) results for a relaxed Fe2CoB2 crystal.

Summary:
Size of the total moment ... 4.8 μB/f.u.
Total energy ... -77.50 eV/cell
Crystal system ... tetragonal
Volume ... 85.9 Å³ per cell

The structure in POSCAR format:
```
Fe2CoB2
1.0
5.455 0.000 0.000
0.000 5.455 0.000
0.000 0.000 2.887
Co Fe B
2 4 4
direct
0.500 0.500 0.000
0.000 0.000 0.000
0.830 0.330 0.500
0.670 0.830 0.500
0.170 0.670 0.500
0.330 0.170 0.500
0.119 0.381 0.000
0.881 0.619 0.000
0.619 0.119 0.000
0.381 0.881 0.000
```


DFT (PBE) results for a relaxed FeCo2B2 crystal.

Summary:
Size of the total moment ... 0.0 μB/f.u.
Total energy ... -73.43 eV/cell
Crystal system ... tetragonal
Volume ... 82.5 Å³ per cell

The structure in POSCAR format:
```
FeCo2B2
1.0
-5.255 -0.654 2.190
-1.792 -2.232 -4.965
0.623 -2.297 0.808
Fe B Co
2 4 4
direct
0.000 0.000 0.000
0.500 0.500 0.000
0.873 0.627 0.000
0.127 0.373 0.000
0.627 0.127 0.000
0.373 0.873 0.000
0.667 0.833 0.500
0.333 0.167 0.500
0.167 0.667 0.500
0.833 0.333 0.500
```


DFT (PBE) results for a relaxed FeCo2B crystal.

Summary:
Size of the total moment ... 4.7 μB/f.u.
Total energy ... -55.06 eV/cell
Crystal system ... tetragonal
Volume ... 83.3 Å³ per cell

The structure in POSCAR format:
```
FeCo2B
1.0
3.252 0.000 0.000
0.000 3.252 0.000
1.626 1.626 7.879
Co B Fe
4 2 2
direct
0.595 0.125 0.250
0.375 0.405 0.750
0.155 0.625 0.250
0.875 0.845 0.750
0.250 0.750 0.500
0.500 0.500 0.000
0.000 0.000 0.000
0.750 0.250 0.500
```


DFT (PBE) results for a relaxed KFe2CoB crystal.

Summary:
Size of the total moment ... 7.1 μB/f.u.
Total energy ... -26.62 eV/cell
Crystal system ... tetragonal
Volume ... 84.0 Å³ per cell

The structure in POSCAR format:
```
KFe2CoB
1.0
4.626 0.000 0.000
0.000 3.927 0.000
0.000 0.000 4.626
Fe B K Co
2 1 1 1
direct
0.500 0.000 0.000
0.000 0.000 0.500
0.000 0.500 0.000
0.500 0.500 0.500
0.000 0.000 0.000
```


DFT (PBE) results for a relaxed LaFe6Co6B6 crystal.

Summary:
Size of the total moment ... 11.2 μB/f.u.
Total energy ... -143.79 eV/cell
Crystal system ... trigonal
Volume ... 194.4 Å³ per cell

The structure in POSCAR format:
```
LaFe6Co6B6
1.0
6.021 -0.001 -0.001
-1.466 5.840 -0.001
-1.466 -1.879 5.529
Co B Fe La
6 6 6 1
direct
0.814 0.541 0.541
0.459 0.186 0.459
0.459 0.459 0.186
0.541 0.814 0.541
0.541 0.541 0.814
0.186 0.459 0.459
0.234 0.234 0.675
0.766 0.766 0.325
0.675 0.234 0.234
0.766 0.325 0.766
0.325 0.766 0.766
0.234 0.675 0.234
0.132 0.500 0.868
0.500 0.868 0.132
0.868 0.132 0.500
0.132 0.868 0.500
0.500 0.132 0.868
0.868 0.500 0.132
0.000 0.000 0.000
```


DFT (PBE) results for a relaxed La2Fe3CoB12 crystal.

Summary:
Size of the total moment ... 4.6 μB/f.u.
Total energy ... -119.08 eV/cell
Crystal system ... trigonal
Volume ... 171.5 Å³ per cell

The structure in POSCAR format:
```
La2Fe3CoB12
1.0
-2.869 -5.066 -6.368
-0.920 -8.051 -2.962
-5.468 -6.248 -2.348
B Fe La Co
12 3 2 1
direct
0.424 0.831 0.424
0.424 0.424 0.831
0.831 0.424 0.424
0.953 0.953 0.335
0.576 0.169 0.576
0.665 0.047 0.047
0.169 0.576 0.576
0.953 0.335 0.953
0.047 0.047 0.665
0.047 0.665 0.047
0.335 0.953 0.953
0.576 0.576 0.169
0.000 0.500 0.000
0.500 0.000 0.000
0.000 0.000 0.500
0.657 0.657 0.657
0.343 0.343 0.343
0.000 0.000 0.000
```


DFT (PBE) results for a relaxed Nb2Fe5CoB2 crystal.

Summary:
Size of the total moment ... 6.2 μB/f.u.
Total energy ... -171.63 eV/cell
Crystal system ... tetragonal
Volume ... 219.6 Å³ per cell

The structure in POSCAR format:
```
Nb2Fe5CoB2
1.0
3.004 0.000 0.000
0.000 8.551 0.000
0.000 0.000 8.551
Nb Fe B Co
4 10 4 2
direct
0.000 0.176 0.324
0.000 0.324 0.824
0.000 0.676 0.176
0.000 0.824 0.676
0.500 0.432 0.284
0.500 0.932 0.216
0.500 0.784 0.932
0.500 0.068 0.784
0.500 0.000 0.500
0.500 0.284 0.568
0.500 0.568 0.716
0.500 0.216 0.068
0.500 0.716 0.432
0.500 0.500 0.000
0.000 0.621 0.879
0.000 0.879 0.379
0.000 0.121 0.621
0.000 0.379 0.121
0.000 0.500 0.500
0.000 0.000 0.000
```


DFT (PBE) results for a relaxed NdFeCoB2 crystal.

Summary:
Size of the total moment ... 0.0 μB/f.u.
Total energy ... -35.91 eV/cell
Crystal system ... tetragonal
Volume ... 65.0 Å³ per cell

The structure in POSCAR format:
```
NdFeCoB2
1.0
-1.885 -1.545 -2.722
2.944 0.205 -2.154
0.888 -3.733 3.957
B Fe Co Nd
2 1 1 1
direct
0.670 0.670 0.340
0.330 0.330 0.660
0.750 0.250 0.500
0.250 0.750 0.500
0.000 0.000 0.000
```


DFT (PBE) results for a relaxed Np2FeCo5B2 crystal.

Summary:
Size of the total moment ... 11.8 μB/f.u.
Total energy ... -168.09 eV/cell
Crystal system ... tetragonal
Volume ... 242.0 Å³ per cell

The structure in POSCAR format:
```
Np2FeCo5B2
1.0
-0.604 0.813 2.602
7.881 -3.905 3.049
4.527 8.004 -1.452
Np B Fe Co
4 4 2 10
direct
0.000 0.180 0.320
0.000 0.820 0.680
0.000 0.680 0.180
0.000 0.320 0.820
0.000 0.382 0.118
0.000 0.618 0.882
0.000 0.882 0.382
0.000 0.118 0.618
0.000 0.000 0.000
0.000 0.500 0.500
0.500 0.935 0.226
0.500 0.726 0.435
0.500 0.226 0.065
0.500 0.274 0.565
0.500 0.065 0.774
0.500 0.500 0.000
0.500 0.565 0.726
0.500 0.774 0.935
0.500 0.000 0.500
0.500 0.435 0.274
```


DFT (PBE) results for a relaxed Np2Fe5CoB2 crystal.

Summary:
Size of the total moment ... 1.6 μB/f.u.
Total energy ... -180.04 eV/cell
Crystal system ... tetragonal
Volume ... 239.9 Å³ per cell

The structure in POSCAR format:
```
Np2Fe5CoB2
1.0
-2.366 1.388 1.248
-4.923 -7.351 -1.159
2.511 -2.949 8.038
Fe Co B Np
10 2 4 4
direct
0.500 0.569 0.720
0.500 0.500 0.000
0.500 0.720 0.431
0.500 0.220 0.069
0.500 0.931 0.220
0.500 0.069 0.780
0.500 0.431 0.280
0.500 0.780 0.931
0.500 0.280 0.569
0.500 0.000 0.500
0.000 0.500 0.500
0.000 0.000 0.000
0.000 0.117 0.617
0.000 0.883 0.383
0.000 0.617 0.883
0.000 0.383 0.117
0.000 0.180 0.320
0.000 0.820 0.680
0.000 0.680 0.180
0.000 0.320 0.820
```